VASP calculation (GGA-PBE) on a relaxed structure of Zn3Ga2N4.

a b c (Å): 6.432 9.407 5.370
angles (deg): 90.00 93.98 136.99
Atoms (fractional coordinates):
Ga 0.568 0.395 0.132
Ga 0.432 0.605 0.868
N 0.381 0.772 0.997
Ga 0.432 0.827 0.368
Zn 0.230 0.959 0.101
Zn 0.000 0.344 0.250
Ga 0.568 0.173 0.632
Zn 0.230 0.271 0.601
Zn 0.770 0.041 0.899
Zn 0.000 0.656 0.750
N 0.201 0.887 0.487
Zn 0.770 0.729 0.399
N 0.799 0.113 0.513
N 0.381 0.609 0.497
N 0.619 0.391 0.503
N 0.799 0.686 0.013
N 0.201 0.314 0.987
N 0.619 0.228 0.003

Computed properties:
Space-group type: No. 15
Magnetic moment (μB/f.u.): 0.00
E_form (uncorrected) (eV/atom): 0.01
N(E_F) (states/eV/f.u.): 0.07